A plane-wave DFT calculation with GGA-PBEsol was carried out for a relaxed ZnInAu2 crystal.

Results
total magnetization: 0.000 μB/cell
calculated volume: 17.4 A^3/atom
final energy: -13.0 eV for the cell shown
D(E_F): 0.9 states/eV per cell

a = 3.228 Å, b = 3.228 Å, c = 6.666 Å
α = 90.00°, β = 90.00°, γ = 90.00°
Space group P4/mmm (No. 123)
Symmetry-distinct sites (fractional):
Zn: 0.000 0.000 0.000
In: 0.000 0.000 0.500
Au: 0.500 0.500 0.219

***

A plane-wave DFT calculation with GGA-PBEsol was carried out for a relaxed Y2AsCl crystal.

Results
total magnetization: 0.055 μB/cell
calculated volume: 21.3 A^3/atom
final energy: -25.6 eV for the cell shown
D(E_F): 3.9 states/eV per cell
formation energy (no corrections): -4.9 eV/f.u.

a = 3.503 Å, b = 3.503 Å, c = 6.934 Å
α = 90.00°, β = 90.00°, γ = 90.00°
Space group P4/mmm (No. 123)
Symmetry-distinct sites (fractional):
Y: 0.000 0.000 0.231
As: 0.500 0.500 0.000
Cl: 0.500 0.500 0.500

***

A plane-wave DFT calculation with GGA-PBEsol was carried out for a relaxed GaRe2TcBr crystal.

Results
total magnetization: 2.655 μB/cell
calculated volume: 21.8 A^3/atom
final energy: -33.4 eV for the cell shown
D(E_F): 6.1 states/eV per cell
formation energy (no corrections): 9.7 eV/f.u.

a = 4.690 Å, b = 4.690 Å, c = 4.957 Å
α = 90.00°, β = 90.00°, γ = 90.00°
Space group P4/mmm (No. 123)
Symmetry-distinct sites (fractional):
Ga: 0.000 0.000 0.000
Re: 0.000 0.500 0.500
Tc: 0.500 0.500 0.500
Br: 0.500 0.500 0.000

***

A plane-wave DFT calculation with GGA-PBEsol was carried out for a relaxed AlAs2Pb crystal.

Results
total magnetization: 0.000 μB/cell
calculated volume: 26.5 A^3/atom
final energy: -18.4 eV for the cell shown
D(E_F): 1.6 states/eV per cell

a = 4.065 Å, b = 4.211 Å, c = 6.255 Å
α = 90.00°, β = 97.98°, γ = 90.00°
Space group Pm (No. 6)
Symmetry-distinct sites (fractional):
Al: 0.000 0.000 0.000
As: 0.543 0.000 0.227
As: 0.905 0.500 0.794
Pb: 0.352 0.500 0.478

***

A plane-wave DFT calculation with GGA-PBEsol was carried out for a relaxed YNbAg2Se crystal.

Results
total magnetization: 0.012 μB/cell
calculated volume: 22.9 A^3/atom
final energy: -26.2 eV for the cell shown
D(E_F): 5.6 states/eV per cell
formation energy (no corrections): 1.9 eV/f.u.

a = 4.858 Å, b = 4.858 Å, c = 4.841 Å
α = 90.00°, β = 90.00°, γ = 90.00°
Space group P4/mmm (No. 123)
Symmetry-distinct sites (fractional):
Y: 0.000 0.000 0.000
Nb: 0.500 0.500 0.000
Ag: 0.000 0.500 0.500
Se: 0.500 0.500 0.500

***

A plane-wave DFT calculation with GGA-PBEsol was carried out for a relaxed LaHgMo2 crystal.

Results
total magnetization: 0.000 μB/cell
calculated volume: 21.9 A^3/atom
final energy: -27.2 eV for the cell shown
D(E_F): 3.5 states/eV per cell

a = 3.628 Å, b = 3.628 Å, c = 6.671 Å
α = 90.00°, β = 90.00°, γ = 90.00°
Space group P4/mmm (No. 123)
Symmetry-distinct sites (fractional):
La: 0.000 0.000 0.000
Hg: 0.000 0.000 0.500
Mo: 0.500 0.500 0.330

***

A plane-wave DFT calculation with GGA-PBEsol was carried out for a relaxed RbB2F crystal.

Results
total magnetization: 0.000 μB/cell
calculated volume: 18.5 A^3/atom
final energy: -69.8 eV for the cell shown
D(E_F): 5.0 states/eV per cell
formation energy (no corrections): -0.5 eV/f.u.

a = 3.414 Å, b = 3.414 Å, c = 25.366 Å
α = 90.00°, β = 90.00°, γ = 90.00°
Space group I4_1/amd (No. 141, origin choice 2)
Symmetry-distinct sites (fractional):
Rb: 0.000 0.250 0.375
B: 0.000 0.000 0.000
F: 0.000 0.250 0.875

***

A plane-wave DFT calculation with GGA-PBEsol was carried out for a relaxed P2IrRu crystal.

Results
total magnetization: 0.002 μB/cell
calculated volume: 12.8 A^3/atom
final energy: -31.9 eV for the cell shown
D(E_F): 3.5 states/eV per cell

a = 2.890 Å, b = 3.096 Å, c = 5.733 Å
α = 90.00°, β = 90.00°, γ = 90.00°
Space group Pmmm (No. 47)
Symmetry-distinct sites (fractional):
P: 0.000 0.000 0.245
Ir: 0.500 0.500 0.500
Ru: 0.500 0.500 0.000